# 1
Entry from Alexandria: a relaxed structure of Er3TeSe3 (PBE-GGA).

Cell lengths 8.2059, 8.2059, 8.3017 Å; angles 60.38, 60.38, 60.00 degrees
Positions (direct):
Er (0.2994, 0.5204, 0.2864)
Er (0.7006, 0.4796, 0.7136)
Er (0.5204, 0.8938, 0.2864)
Er (0.8938, 0.2994, 0.2864)
Er (0.1062, 0.7006, 0.7136)
Er (0.4796, 0.1062, 0.7136)
Se (0.1612, 0.8940, 0.3114)
Se (0.1060, 0.3665, 0.6886)
Se (0.8940, 0.6335, 0.3114)
Se (0.6335, 0.1612, 0.3114)
Se (0.3665, 0.8388, 0.6886)
Se (0.8388, 0.1060, 0.6886)
Te (0.3278, 0.3278, 0.0167)
Te (0.6722, 0.6722, 0.9833)

Results
Energy relative to the lowest polymorph listed for this composition in meV/atom: 94
Calculated total energy in eV/atom: -5.49
Volume in Å³/f.u.: 198.8
Magnetic moment in μB per cell: 0.0
E_form (uncorrected) in kJ/mol of atoms: -154



# 2
Entry from Alexandria: a relaxed structure of YGa2Ge2 (PBE-GGA).

Cell lengths 7.4640, 7.4640, 3.6199 Å; angles 90.00, 90.00, 90.00 degrees
Positions (direct):
Ge (0.1690, 0.6690, 0.5000)
Ge (0.3310, 0.1690, 0.5000)
Ge (0.8310, 0.3310, 0.5000)
Ge (0.6690, 0.8310, 0.5000)
Y (0.5000, 0.5000, 0.0000)
Y (0.0000, 0.0000, 0.0000)
Ga (0.1221, 0.3779, 0.0000)
Ga (0.3779, 0.8779, 0.0000)
Ga (0.6221, 0.1221, 0.0000)
Ga (0.8779, 0.6221, 0.0000)

Results
Calculated total energy in eV/atom: -4.56
Volume in Å³/f.u.: 100.8
Magnetic moment in μB per cell: 0.0
Energy of formation in eV per atom: -0.21



# 3
Entry from Alexandria: a relaxed structure of RbAg2TeO4 (PBE-GGA).

Cell lengths 8.5199, 8.5199, 7.1844 Å; angles 123.68, 123.68, 95.53 degrees
Positions (direct):
Ag (0.0000, 0.0000, 0.5000)
Ag (0.5000, 0.5000, 0.0000)
Ag (0.5000, 0.0000, 0.0000)
Ag (0.5000, 0.0000, 0.5000)
Rb (0.0000, 0.5000, 0.5000)
Rb (0.0000, 0.5000, 0.0000)
O (0.6931, 0.6679, 0.4846)
O (0.8106, 0.1196, 0.9305)
O (0.1894, 0.8804, 0.0695)
O (0.8321, 0.8069, 0.0154)
O (0.3069, 0.3321, 0.5154)
O (0.6196, 0.3106, 0.4305)
O (0.3804, 0.6894, 0.5695)
O (0.1679, 0.1931, 0.9846)
Te (0.0000, 0.0000, 0.0000)
Te (0.5000, 0.5000, 0.5000)

Results
Calculated total energy in eV/atom: -4.35
Volume in Å³/f.u.: 146.6
Magnetic moment in μB per cell: 0.0
E_form (uncorrected) in kJ/mol of atoms: -63



# 4
Entry from Alexandria: a relaxed structure of HfCoGeAs2 (PBE-GGA).

Cell lengths 5.1072, 4.7340, 5.1072 Å; angles 90.00, 90.00, 90.00 degrees
Positions (direct):
Ge (0.5000, 0.5000, 0.5000)
As (0.5000, 0.0000, 0.0000)
As (0.0000, 0.0000, 0.5000)
Hf (0.0000, 0.0000, 0.0000)
Co (0.0000, 0.5000, 0.0000)

Results
Calculated total energy in eV/atom: -5.41
Volume in Å³/f.u.: 123.5
Magnetic moment in μB per cell: 1.7
Energy of formation in eV per atom: 0.78



# 5
Entry from Alexandria: a relaxed structure of Cs2AcSb2Se6 (PBE-GGA).

Cell lengths 7.9358, 7.7889, 9.5658 Å; angles 113.67, 90.00, 120.63 degrees
Positions (direct):
Sb (0.0468, 0.0935, 0.1887)
Sb (0.9532, 0.9065, 0.8113)
Cs (0.7026, 0.4052, 0.1832)
Cs (0.2974, 0.5948, 0.8168)
Se (0.6824, 0.8877, 0.2113)
Se (0.3176, 0.1123, 0.7887)
Se (0.7497, 0.4994, 0.5914)
Se (0.2052, 0.8877, 0.2113)
Se (0.7948, 0.1123, 0.7887)
Se (0.2503, 0.5006, 0.4086)
Ac (0.5000, 0.0000, 0.5000)

Results
Calculated total energy in eV/atom: -4.04
Volume in Å³/f.u.: 450.0
Magnetic moment in μB per cell: 0.0
E_form (uncorrected) in kJ/mol of atoms: -83



# 6
Entry from Alexandria: a relaxed structure of Li4CuHg5 (PBE-GGA).

Cell lengths 3.3549, 3.3549, 16.2206 Å; angles 90.00, 90.00, 90.00 degrees
Positions (direct):
Hg (0.5000, 0.5000, 0.2979)
Hg (0.5000, 0.5000, 0.0970)
Hg (0.5000, 0.5000, 0.5000)
Hg (0.5000, 0.5000, 0.9030)
Hg (0.5000, 0.5000, 0.7021)
Li (0.0000, 0.0000, 0.3991)
Li (0.0000, 0.0000, 0.6009)
Li (0.0000, 0.0000, 0.8066)
Li (0.0000, 0.0000, 0.1934)
Cu (0.0000, 0.0000, 0.0000)

Results
Calculated total energy in eV/atom: -1.59
Volume in Å³/f.u.: 182.6
Magnetic moment in μB per cell: 0.0
Energy of formation in eV per atom: -0.27



# 7
Entry from Alexandria: a relaxed structure of ZrBeAs2 (PBE-GGA).

Cell lengths 4.9393, 4.9393, 4.9393 Å; angles 138.72, 119.87, 75.56 degrees
Positions (direct):
Zr (0.2500, 0.7500, 0.5000)
As (0.9523, 0.9523, 0.0000)
As (0.5477, 0.5477, 0.0000)
Be (0.7500, 0.2500, 0.5000)

Results
Calculated total energy in eV/atom: -5.64
Volume in Å³/f.u.: 67.3
Magnetic moment in μB per cell: 0.0
Energy of formation in eV per atom: -0.25



# 8
Entry from Alexandria: a relaxed structure of Pm2DyTl3Te6 (PBE-GGA).

Cell lengths 7.8168, 7.8168, 8.5875 Å; angles 98.73, 98.73, 119.99 degrees
Positions (direct):
Te (0.9279, 0.6005, 0.7835)
Te (0.0721, 0.3995, 0.2165)
Te (0.3995, 0.0721, 0.2165)
Te (0.7455, 0.7455, 0.2181)
Te (0.2545, 0.2545, 0.7819)
Te (0.6005, 0.9279, 0.7835)
Pm (0.3336, 0.6664, 0.0000)
Pm (0.6664, 0.3336, 0.0000)
Dy (0.0000, 0.0000, 0.0000)
Tl (0.1685, 0.8315, 0.5000)
Tl (0.8315, 0.1685, 0.5000)
Tl (0.5000, 0.5000, 0.5000)

Results
Calculated total energy in eV/atom: -4.40
Volume in Å³/f.u.: 433.0
Magnetic moment in μB per cell: 0.0
E_form (uncorrected) in kJ/mol of atoms: -103



Which value of magnetic moment does entry 5 give? 0.0 μB per cell



calculated total energy of number 3 (RbAg2TeO4)? -4.35 eV/atom



Look up the magnetic moment of the fourth one. 1.7 μB per cell



Look up the magnetic moment of the third one. 0.0 μB per cell